[1]
AcPrIr: relaxed, PBE.

D(E_F): 0.68 states/eV per atom
Calculated total energy: -6.436 eV/atom
Magnetic moment: 0.00 Bohr magnetons per cell
ΔH_f (0 K): -151 kJ/mol of formula units

Cell lengths 6.739, 4.336, 4.336 Å; angles 120.00, 90.00, 90.00 degrees
Element x y z (fractional)
Ac (0.773, 0.667, 0.333)
Pr (0.221, 0.333, 0.667)
Ir (0.007, 0.000, 0.000)



[2]
AcPrIr: relaxed, PBE.

D(E_F): 1.03 states/eV per atom
Calculated total energy: -6.434 eV/atom
Magnetic moment: 0.00 Bohr magnetons per cell
ΔH_f (0 K): -150 kJ/mol of formula units

Cell lengths 4.100, 10.727, 8.827 Å; angles 94.16, 90.00, 90.00 degrees
Element x y z (fractional)
Pr (0.000, 0.816, 0.905)
Ir (0.500, 0.624, 0.920)
Pr (0.000, 0.184, 0.095)
Ir (0.500, 0.376, 0.080)
Ac (0.000, 0.430, 0.804)
Pr (0.500, 0.316, 0.405)
Ac (0.500, 0.930, 0.304)
Ir (0.000, 0.876, 0.580)
Ir (0.000, 0.124, 0.420)
Ac (0.000, 0.570, 0.196)
Pr (0.500, 0.684, 0.595)
Ac (0.500, 0.070, 0.696)



[3]
Ac3Pr2Ir3: relaxed, PBE.

D(E_F): 0.61 states/eV per atom
Calculated total energy: -6.564 eV/atom
Magnetic moment: 0.00 Bohr magnetons per cell
ΔH_f (0 K): -391 kJ/mol of formula units

Cell lengths 5.835, 7.442, 14.483 Å; angles 88.84, 90.00, 113.08 degrees
Element x y z (fractional)
Ir (0.212, 0.424, 0.250)
Ac (0.957, 0.914, 0.876)
Pr (0.317, 0.633, 0.435)
Ir (0.140, 0.280, 0.562)
Pr (0.326, 0.652, 0.066)
Ac (0.662, 0.323, 0.575)
Ac (0.052, 0.105, 0.118)
Ir (0.156, 0.312, 0.942)
Ir (0.789, 0.579, 0.754)
Ac (0.254, 0.508, 0.749)
Ir (0.854, 0.708, 0.056)
Ac (0.752, 0.504, 0.248)
Pr (0.937, 0.874, 0.613)
Ac (0.047, 0.093, 0.382)
Ir (0.843, 0.687, 0.442)
Pr (0.682, 0.364, 0.936)



[4]
AcPrIr: relaxed, PBE.

D(E_F): 0.74 states/eV per atom
Calculated total energy: -6.389 eV/atom
Magnetic moment: 0.00 Bohr magnetons per cell
ΔH_f (0 K): -137 kJ/mol of formula units

Cell lengths 5.106, 5.106, 5.106 Å; angles 60.00, 60.00, 60.00 degrees
Element x y z (fractional)
Ac (0.000, 0.000, 0.000)
Pr (0.500, 0.500, 0.500)
Ir (0.250, 0.250, 0.250)



The highest D(E_F) belongs to which entry?
number 2